# MgRe2Ru (PBE, relaxed)
# E_tot, eV/atom: -8.798
# Total moment, μB/cell: 0.0
data_MgRe2Ru
_chemical_formula_sum 'Mg4 Re8 Ru4'
_cell_length_a 6.196
_cell_length_b 6.196
_cell_length_c 6.196
_cell_angle_alpha 90.00
_cell_angle_beta 90.00
_cell_angle_gamma 90.00
_space_group_name_H-M_alt 'F -4 3 m'
_space_group_IT_number 216
_space_group_name_Hall 'F -4 2 3'
loop_
_atom_site_label
_atom_site_type_symbol
_atom_site_fract_x
_atom_site_fract_y
_atom_site_fract_z
Mg1 Mg 0.000 0.000 0.000
Re1 Re 0.000 0.000 0.500
Re2 Re 0.250 0.250 0.250
Ru1 Ru 0.250 0.250 0.750


# Pm2SmF (PBE, relaxed)
# E_tot, eV/atom: -5.170
# Total moment, μB/cell: 0.0
data_Pm2SmF
_chemical_formula_sum 'Pm6 Sm3 F3'
_cell_length_a 3.7744
_cell_length_b 3.7744
_cell_length_c 26.1650
_cell_angle_alpha 90.00
_cell_angle_beta 90.00
_cell_angle_gamma 120.00
_space_group_name_H-M_alt 'R -3 m'
_space_group_IT_number 166
_space_group_name_Hall '-R 3 2"'
loop_
_atom_site_label
_atom_site_type_symbol
_atom_site_fract_x
_atom_site_fract_y
_atom_site_fract_z
Pm1 Pm 0.0000 0.0000 0.2234
Sm1 Sm 0.0000 0.0000 0.0000
F1 F 0.0000 0.0000 0.5000


# BaSr2P (PBE, relaxed)
# E_tot, eV/atom: -3.115
# Total moment, μB/cell: 3.9
data_BaSr2P
_chemical_formula_sum 'Ba4 Sr8 P4'
_cell_length_a 10.602
_cell_length_b 10.602
_cell_length_c 6.580
_cell_angle_alpha 90.00
_cell_angle_beta 90.00
_cell_angle_gamma 90.00
_space_group_name_H-M_alt 'I -4 2 d'
_space_group_IT_number 122
_space_group_name_Hall 'I -4 2bw'
loop_
_atom_site_label
_atom_site_type_symbol
_atom_site_fract_x
_atom_site_fract_y
_atom_site_fract_z
Ba1 Ba 0.000 0.000 0.000
Sr1 Sr 0.122 0.750 0.625
P1 P 0.000 0.000 0.500


# YCrIr2 (PBE, relaxed)
# Offset from the most stable computed form, meV per atom: 82
# Total moment, μB/cell: 6.2
data_YCrIr2
_chemical_formula_sum 'Y2 Cr2 Ir4'
_cell_length_a 6.155
_cell_length_b 7.104
_cell_length_c 3.132
_cell_angle_alpha 90.00
_cell_angle_beta 90.00
_cell_angle_gamma 90.00
_space_group_name_H-M_alt 'C m m m'
_space_group_IT_number 65
_space_group_name_Hall '-C 2 2'
loop_
_atom_site_label
_atom_site_type_symbol
_atom_site_fract_x
_atom_site_fract_y
_atom_site_fract_z
Y1 Y 0.000 0.000 0.000
Cr1 Cr 0.000 0.500 0.000
Ir1 Ir 0.250 0.250 0.500


# LuH2 (PBE, relaxed)
# E_tot, eV/atom: -4.445
# Total moment, μB/cell: 0.0
data_LuH2
_chemical_formula_sum 'Lu4 H8'
_cell_length_a 5.001
_cell_length_b 5.001
_cell_length_c 5.001
_cell_angle_alpha 90.00
_cell_angle_beta 90.00
_cell_angle_gamma 90.00
_space_group_name_H-M_alt 'F m -3 m'
_space_group_IT_number 225
_space_group_name_Hall '-F 4 2 3'
loop_
_atom_site_label
_atom_site_type_symbol
_atom_site_fract_x
_atom_site_fract_y
_atom_site_fract_z
Lu1 Lu 0.000 0.000 0.000
H1 H 0.250 0.250 0.250


# LaSmTeBr (PBE, relaxed)
# E_tot, eV/atom: -4.871
# Total moment, μB/cell: 0.0
data_LaSmTeBr
_chemical_formula_sum 'La4 Sm4 Te4 Br4'
_cell_length_a 7.629
_cell_length_b 7.629
_cell_length_c 7.629
_cell_angle_alpha 90.00
_cell_angle_beta 90.00
_cell_angle_gamma 90.00
_space_group_name_H-M_alt 'F -4 3 m'
_space_group_IT_number 216
_space_group_name_Hall 'F -4 2 3'
loop_
_atom_site_label
_atom_site_type_symbol
_atom_site_fract_x
_atom_site_fract_y
_atom_site_fract_z
La1 La 0.000 0.000 0.000
Sm1 Sm 0.000 0.000 0.500
Te1 Te 0.250 0.250 0.750
Br1 Br 0.250 0.250 0.250


# Tb2SbPb (PBE, relaxed)
# Offset from the most stable computed form, meV per atom: 0
# Total moment, μB/cell: 0.0
data_Tb2SbPb
_chemical_formula_sum 'Tb8 Sb4 Pb4'
_cell_length_a 4.498
_cell_length_b 24.168
_cell_length_c 4.403
_cell_angle_alpha 90.00
_cell_angle_beta 90.00
_cell_angle_gamma 90.00
_space_group_name_H-M_alt 'C m c m'
_space_group_IT_number 63
_space_group_name_Hall '-C 2c 2'
loop_
_atom_site_label
_atom_site_type_symbol
_atom_site_fract_x
_atom_site_fract_y
_atom_site_fract_z
Tb1 Tb 0.000 0.063 0.250
Tb2 Tb 0.000 0.314 0.250
Sb1 Sb 0.000 0.187 0.250
Pb1 Pb 0.000 0.450 0.250


# Mn2FeRe (PBE, relaxed)
# E_tot, eV/atom: -9.743
# Total moment, μB/cell: 0.6
data_Mn2FeRe
_chemical_formula_sum 'Mn2 Fe1 Re1'
_cell_length_a 2.602
_cell_length_b 3.609
_cell_length_c 5.191
_cell_angle_alpha 90.00
_cell_angle_beta 90.00
_cell_angle_gamma 90.00
_space_group_name_H-M_alt 'P m m 2'
_space_group_IT_number 25
_space_group_name_Hall 'P 2 -2'
loop_
_atom_site_label
_atom_site_type_symbol
_atom_site_fract_x
_atom_site_fract_y
_atom_site_fract_z
Mn1 Mn 0.000 0.000 0.000
Mn2 Mn 0.500 0.500 0.235
Fe1 Fe 0.500 0.500 0.756
Re1 Re 0.000 0.000 0.504


# K2LaCl (PBE, relaxed)
# Offset from the most stable computed form, meV per atom: 85
# Total moment, μB/cell: 0.0
data_K2LaCl
_chemical_formula_sum 'K2 La1 Cl1'
_cell_length_a 3.906
_cell_length_b 3.743
_cell_length_c 12.060
_cell_angle_alpha 90.00
_cell_angle_beta 99.08
_cell_angle_gamma 90.00
_space_group_name_H-M_alt 'P 1 m 1'
_space_group_IT_number 6
_space_group_name_Hall 'P -2y'
loop_
_atom_site_label
_atom_site_type_symbol
_atom_site_fract_x
_atom_site_fract_y
_atom_site_fract_z
K1 K 0.000 0.000 0.000
K2 K 0.317 0.500 0.652
La1 La 0.669 0.000 0.348
Cl1 Cl 0.573 0.500 0.150


# Na3TcBr (PBE, relaxed)
# Offset from the most stable computed form, meV per atom: 0
# Total moment, μB/cell: 3.4
data_Na3TcBr
_chemical_formula_sum 'Na3 Tc1 Br1'
_cell_length_a 5.498
_cell_length_b 5.498
_cell_length_c 5.498
_cell_angle_alpha 90.00
_cell_angle_beta 90.00
_cell_angle_gamma 90.00
_space_group_name_H-M_alt 'P m -3 m'
_space_group_IT_number 221
_space_group_name_Hall '-P 4 2 3'
loop_
_atom_site_label
_atom_site_type_symbol
_atom_site_fract_x
_atom_site_fract_y
_atom_site_fract_z
Na1 Na 0.000 0.000 0.500
Tc1 Tc 0.500 0.500 0.500
Br1 Br 0.000 0.000 0.000


# KAl2IrW (PBE, relaxed)
# E_tot, eV/atom: -3.351
# Total moment, μB/cell: 0.0
data_KAl2IrW
_chemical_formula_sum 'K1 Al2 Ir1 W1'
_cell_length_a 4.740
_cell_length_b 4.740
_cell_length_c 4.499
_cell_angle_alpha 90.00
_cell_angle_beta 90.00
_cell_angle_gamma 90.00
_space_group_name_H-M_alt 'P 4/m m m'
_space_group_IT_number 123
_space_group_name_Hall '-P 4 2'
loop_
_atom_site_label
_atom_site_type_symbol
_atom_site_fract_x
_atom_site_fract_y
_atom_site_fract_z
K1 K 0.000 0.000 0.000
Al1 Al 0.000 0.500 0.000
Ir1 Ir 0.000 0.000 0.500
W1 W 0.500 0.500 0.500


# SiHg2Bi (PBE, relaxed)
# Offset from the most stable computed form, meV per atom: 118
# Total moment, μB/cell: 0.0
data_SiHg2Bi
_chemical_formula_sum 'Si4 Hg8 Bi4'
_cell_length_a 7.350
_cell_length_b 7.350
_cell_length_c 7.350
_cell_angle_alpha 90.00
_cell_angle_beta 90.00
_cell_angle_gamma 90.00
_space_group_name_H-M_alt 'F m -3 m'
_space_group_IT_number 225
_space_group_name_Hall '-F 4 2 3'
loop_
_atom_site_label
_atom_site_type_symbol
_atom_site_fract_x
_atom_site_fract_y
_atom_site_fract_z
Si1 Si 0.000 0.000 0.000
Hg1 Hg 0.250 0.250 0.250
Bi1 Bi 0.000 0.000 0.500


# Tm2Mn16Tc (PBE, relaxed)
# E_tot, eV/atom: -8.753
# Total moment, μB/cell: 15.3
data_Tm2Mn16Tc
_chemical_formula_sum 'Tm6 Mn48 Tc3'
_cell_length_a 8.6427
_cell_length_b 8.6427
_cell_length_c 11.6651
_cell_angle_alpha 90.00
_cell_angle_beta 90.00
_cell_angle_gamma 120.00
_space_group_name_H-M_alt 'R 3 m'
_space_group_IT_number 160
_space_group_name_Hall 'R 3 -2"'
loop_
_atom_site_label
_atom_site_type_symbol
_atom_site_fract_x
_atom_site_fract_y
_atom_site_fract_z
Tm1 Tm 0.0000 0.0000 0.0000
Tm2 Tm 0.0000 0.0000 0.2892
Mn1 Mn 0.0000 0.0000 0.7484
Mn2 Mn 0.0003 0.5002 0.1451
Mn3 Mn 0.0005 0.2792 0.6467
Mn4 Mn 0.0133 0.5067 0.5085
Mn5 Mn 0.1711 0.3423 0.1139
Tc1 Tc 0.0000 0.0000 0.5447


# Co4TcPt (PBE, relaxed)
# E_tot, eV/atom: -7.388
# Total moment, μB/cell: 23.8
data_Co4TcPt
_chemical_formula_sum 'Co16 Tc4 Pt4'
_cell_length_a 6.648
_cell_length_b 6.648
_cell_length_c 6.648
_cell_angle_alpha 90.00
_cell_angle_beta 90.00
_cell_angle_gamma 90.00
_space_group_name_H-M_alt 'F -4 3 m'
_space_group_IT_number 216
_space_group_name_Hall 'F -4 2 3'
loop_
_atom_site_label
_atom_site_type_symbol
_atom_site_fract_x
_atom_site_fract_y
_atom_site_fract_z
Co1 Co 0.125 0.125 0.125
Tc1 Tc 0.000 0.000 0.500
Pt1 Pt 0.250 0.250 0.750


# Na5Np3Se12 (PBE, relaxed)
# E_tot, eV/atom: -5.035
# Total moment, μB/cell: 93.4
data_Na5Np3Se12
_chemical_formula_sum 'Na40 Np24 Se96'
_cell_length_a 16.951
_cell_length_b 16.951
_cell_length_c 16.951
_cell_angle_alpha 90.00
_cell_angle_beta 90.00
_cell_angle_gamma 90.00
_space_group_name_H-M_alt 'I a -3 d'
_space_group_IT_number 230
_space_group_name_Hall '-I 4bd 2c 3'
loop_
_atom_site_label
_atom_site_type_symbol
_atom_site_fract_x
_atom_site_fract_y
_atom_site_fract_z
Na1 Na 0.000 0.000 0.000
Na2 Na 0.000 0.250 0.375
Np1 Np 0.000 0.250 0.125
Se1 Se 0.012 0.086 0.667


# BSbW2 (PBE, relaxed)
# E_tot, eV/atom: -8.152
# Total moment, μB/cell: 0.0
data_BSbW2
_chemical_formula_sum 'B4 Sb4 W8'
_cell_length_a 4.997
_cell_length_b 4.997
_cell_length_c 12.717
_cell_angle_alpha 90.00
_cell_angle_beta 90.00
_cell_angle_gamma 90.00
_space_group_name_H-M_alt 'I -4 2 d'
_space_group_IT_number 122
_space_group_name_Hall 'I -4 2bw'
loop_
_atom_site_label
_atom_site_type_symbol
_atom_site_fract_x
_atom_site_fract_y
_atom_site_fract_z
B1 B 0.000 0.000 0.000
Sb1 Sb 0.000 0.000 0.500
W1 W 0.117 0.250 0.125


# TaFeSi4 (PBE, relaxed)
# E_tot, eV/atom: -6.742
# Total moment, μB/cell: 8.8
data_TaFeSi4
_chemical_formula_sum 'Ta4 Fe4 Si16'
_cell_length_a 6.854
_cell_length_b 6.854
_cell_length_c 6.854
_cell_angle_alpha 90.00
_cell_angle_beta 90.00
_cell_angle_gamma 90.00
_space_group_name_H-M_alt 'F -4 3 m'
_space_group_IT_number 216
_space_group_name_Hall 'F -4 2 3'
loop_
_atom_site_label
_atom_site_type_symbol
_atom_site_fract_x
_atom_site_fract_y
_atom_site_fract_z
Ta1 Ta 0.000 0.000 0.000
Fe1 Fe 0.250 0.250 0.750
Si1 Si 0.125 0.125 0.375


# Rb2RhI6F (PBE, relaxed)
# E_tot, eV/atom: -2.807
# Total moment, μB/cell: 1.2
data_Rb2RhI6F
_chemical_formula_sum 'Rb4 Rh2 I12 F2'
_cell_length_a 8.417
_cell_length_b 8.417
_cell_length_c 10.325
_cell_angle_alpha 90.00
_cell_angle_beta 90.00
_cell_angle_gamma 90.00
_space_group_name_H-M_alt 'I 4/m m m'
_space_group_IT_number 139
_space_group_name_Hall '-I 4 2'
loop_
_atom_site_label
_atom_site_type_symbol
_atom_site_fract_x
_atom_site_fract_y
_atom_site_fract_z
Rb1 Rb 0.000 0.500 0.250
Rh1 Rh 0.000 0.000 0.000
I1 I 0.000 0.000 0.268
I2 I 0.225 0.225 0.000
F1 F 0.000 0.000 0.500


# Rb2NpTc3O12 (PBE, relaxed)
# E_tot, eV/atom: -7.664
# Total moment, μB/cell: 7.6
data_Rb2NpTc3O12
_chemical_formula_sum 'Rb6 Np3 Tc9 O36'
_cell_length_a 7.2862
_cell_length_b 7.2862
_cell_length_c 18.6910
_cell_angle_alpha 90.00
_cell_angle_beta 90.00
_cell_angle_gamma 120.00
_space_group_name_H-M_alt 'R -3 m'
_space_group_IT_number 166
_space_group_name_Hall '-R 3 2"'
loop_
_atom_site_label
_atom_site_type_symbol
_atom_site_fract_x
_atom_site_fract_y
_atom_site_fract_z
Rb1 Rb 0.0000 0.0000 0.1231
Np1 Np 0.0000 0.0000 0.5000
Tc1 Tc 0.0000 0.5000 0.0000
O1 O 0.0625 0.5312 0.1047
O2 O 0.0858 0.5429 0.3461


# CuSi4 (PBE, relaxed)
# Offset from the most stable computed form, meV per atom: 217
# Total moment, μB/cell: 0.0
data_CuSi4
_chemical_formula_sum 'Cu2 Si8'
_cell_length_a 4.335
_cell_length_b 4.335
_cell_length_c 8.958
_cell_angle_alpha 90.00
_cell_angle_beta 90.00
_cell_angle_gamma 90.00
_space_group_name_H-M_alt 'I 4/m m m'
_space_group_IT_number 139
_space_group_name_Hall '-I 4 2'
loop_
_atom_site_label
_atom_site_type_symbol
_atom_site_fract_x
_atom_site_fract_y
_atom_site_fract_z
Cu1 Cu 0.000 0.000 0.000
Si1 Si 0.000 0.000 0.372
Si2 Si 0.000 0.500 0.250